Run i
The following is a PBE-GGA calculation of HfS3I after structural relaxation, from the Alexandria database.

Values from the calculation:
magnetization = 0.0 μB per cell

```
data_HfS3I
_chemical_formula_sum 'Hf1 S3 I1'
_cell_length_a 4.976
_cell_length_b 4.976
_cell_length_c 4.976
_cell_angle_alpha 90.00
_cell_angle_beta 90.00
_cell_angle_gamma 90.00
_symmetry_space_group_name_H-M 'P 1'
_symmetry_Int_Tables_number 1
loop_
_symmetry_equiv_pos_as_xyz
'x,y,z'
loop_
_atom_site_label
_atom_site_type_symbol
_atom_site_fract_x
_atom_site_fract_y
_atom_site_fract_z
Hf1 Hf 0.000 0.000 0.000
S1 S 0.000 0.000 0.500
S2 S 0.000 0.500 0.000
S3 S 0.500 0.000 0.000
I1 I 0.500 0.500 0.500
```

***

Run ii
The following is a PBE-GGA calculation of HfS3I after structural relaxation, from the Alexandria database.

Values from the calculation:
magnetization = 1.2 μB per cell

```
data_HfS3I
_chemical_formula_sum 'Hf1 S3 I1'
_cell_length_a 5.011
_cell_length_b 5.011
_cell_length_c 5.011
_cell_angle_alpha 90.00
_cell_angle_beta 90.00
_cell_angle_gamma 90.00
_symmetry_space_group_name_H-M 'P 1'
_symmetry_Int_Tables_number 1
loop_
_symmetry_equiv_pos_as_xyz
'x,y,z'
loop_
_atom_site_label
_atom_site_type_symbol
_atom_site_fract_x
_atom_site_fract_y
_atom_site_fract_z
Hf1 Hf 0.000 0.000 0.000
S1 S 0.000 0.500 0.500
S2 S 0.500 0.000 0.500
S3 S 0.500 0.500 0.000
I1 I 0.500 0.500 0.500
```

***

We find run i to be the most stable, with the next structure 130.0 kJ/mol of atoms higher.

***

Run i
The following is a PBE-GGA calculation of HfTeSI2 after structural relaxation, from the Alexandria database.

Values from the calculation:
magnetization = 1.3 μB per cell

```
data_HfTeSI2
_chemical_formula_sum 'Hf1 Te1 S1 I2'
_cell_length_a 5.414
_cell_length_b 5.414
_cell_length_c 5.231
_cell_angle_alpha 90.00
_cell_angle_beta 90.00
_cell_angle_gamma 90.00
_symmetry_space_group_name_H-M 'P 1'
_symmetry_Int_Tables_number 1
loop_
_symmetry_equiv_pos_as_xyz
'x,y,z'
loop_
_atom_site_label
_atom_site_type_symbol
_atom_site_fract_x
_atom_site_fract_y
_atom_site_fract_z
Hf1 Hf 0.000 0.000 0.000
Te1 Te 0.500 0.500 0.000
S1 S 0.500 0.500 0.500
I1 I 0.000 0.500 0.500
I2 I 0.500 0.000 0.500
```

***

Run ii
The following is a PBE-GGA calculation of HfTeSI2 after structural relaxation, from the Alexandria database.

Values from the calculation:
magnetization = 2.0 μB per cell

```
data_HfTeSI2
_chemical_formula_sum 'Hf1 Te1 S1 I2'
_cell_length_a 5.689
_cell_length_b 5.689
_cell_length_c 5.573
_cell_angle_alpha 90.00
_cell_angle_beta 90.00
_cell_angle_gamma 90.00
_symmetry_space_group_name_H-M 'P 1'
_symmetry_Int_Tables_number 1
loop_
_symmetry_equiv_pos_as_xyz
'x,y,z'
loop_
_atom_site_label
_atom_site_type_symbol
_atom_site_fract_x
_atom_site_fract_y
_atom_site_fract_z
Hf1 Hf 0.000 0.000 0.000
Te1 Te 0.000 0.000 0.500
S1 S 0.500 0.500 0.500
I1 I 0.000 0.500 0.000
I2 I 0.500 0.000 0.000
```

***

We find run ii to be the most stable, with the next structure 61.6 kJ/mol of atoms higher.

***

Run i
The following is a PBE-GGA calculation of HfSbI3 after structural relaxation, from the Alexandria database.

Values from the calculation:
magnetization = 3.1 μB per cell

```
data_HfSbI3
_chemical_formula_sum 'Hf1 Sb1 I3'
_cell_length_a 5.735
_cell_length_b 5.735
_cell_length_c 5.735
_cell_angle_alpha 90.00
_cell_angle_beta 90.00
_cell_angle_gamma 90.00
_symmetry_space_group_name_H-M 'P 1'
_symmetry_Int_Tables_number 1
loop_
_symmetry_equiv_pos_as_xyz
'x,y,z'
loop_
_atom_site_label
_atom_site_type_symbol
_atom_site_fract_x
_atom_site_fract_y
_atom_site_fract_z
Hf1 Hf 0.000 0.000 0.000
Sb1 Sb 0.500 0.500 0.500
I1 I 0.000 0.000 0.500
I2 I 0.000 0.500 0.000
I3 I 0.500 0.000 0.000
```

***

Run ii
The following is a PBE-GGA calculation of HfSbI3 after structural relaxation, from the Alexandria database.

Values from the calculation:
magnetization = 1.4 μB per cell

```
data_HfSbI3
_chemical_formula_sum 'Hf1 Sb1 I3'
_cell_length_a 6.039
_cell_length_b 6.039
_cell_length_c 6.039
_cell_angle_alpha 90.00
_cell_angle_beta 90.00
_cell_angle_gamma 90.00
_symmetry_space_group_name_H-M 'P 1'
_symmetry_Int_Tables_number 1
loop_
_symmetry_equiv_pos_as_xyz
'x,y,z'
loop_
_atom_site_label
_atom_site_type_symbol
_atom_site_fract_x
_atom_site_fract_y
_atom_site_fract_z
Hf1 Hf 0.000 0.000 0.000
Sb1 Sb 0.500 0.500 0.500
I1 I 0.000 0.500 0.500
I2 I 0.500 0.000 0.500
I3 I 0.500 0.500 0.000
```

***

We find run i to be the most stable, with the next structure 70.1 kJ/mol of atoms higher.

***

Run i
The following is a PBE-GGA calculation of HfSb2SeI after structural relaxation, from the Alexandria database.

Values from the calculation:
magnetization = 0.0 μB per cell

```
data_HfSb2SeI
_chemical_formula_sum 'Hf1 Sb2 Se1 I1'
_cell_length_a 5.603
_cell_length_b 5.603
_cell_length_c 5.390
_cell_angle_alpha 90.00
_cell_angle_beta 90.00
_cell_angle_gamma 90.00
_symmetry_space_group_name_H-M 'P 1'
_symmetry_Int_Tables_number 1
loop_
_symmetry_equiv_pos_as_xyz
'x,y,z'
loop_
_atom_site_label
_atom_site_type_symbol
_atom_site_fract_x
_atom_site_fract_y
_atom_site_fract_z
Hf1 Hf 0.000 0.000 0.000
Sb1 Sb 0.000 0.500 0.000
Sb2 Sb 0.500 0.000 0.000
Se1 Se 0.500 0.500 0.500
I1 I 0.000 0.000 0.500
```

***

Run ii
The following is a PBE-GGA calculation of HfSb2SeI after structural relaxation, from the Alexandria database.

Values from the calculation:
magnetization = 0.0 μB per cell

```
data_HfSb2SeI
_chemical_formula_sum 'Hf1 Sb2 Se1 I1'
_cell_length_a 5.319
_cell_length_b 5.319
_cell_length_c 5.512
_cell_angle_alpha 90.00
_cell_angle_beta 90.00
_cell_angle_gamma 90.00
_symmetry_space_group_name_H-M 'P 1'
_symmetry_Int_Tables_number 1
loop_
_symmetry_equiv_pos_as_xyz
'x,y,z'
loop_
_atom_site_label
_atom_site_type_symbol
_atom_site_fract_x
_atom_site_fract_y
_atom_site_fract_z
Hf1 Hf 0.000 0.000 0.000
Sb1 Sb 0.000 0.500 0.500
Sb2 Sb 0.500 0.000 0.500
Se1 Se 0.500 0.500 0.500
I1 I 0.500 0.500 0.000
```

***

We find run i to be the most stable, with the next structure 51.7 kJ/mol of atoms higher.

***

Run i
The following is a PBE-GGA calculation of HfSiSbI2 after structural relaxation, from the Alexandria database.

Values from the calculation:
magnetization = 0.9 μB per cell

```
data_HfSiSbI2
_chemical_formula_sum 'Hf1 Si1 Sb1 I2'
_cell_length_a 5.293
_cell_length_b 5.293
_cell_length_c 5.400
_cell_angle_alpha 90.00
_cell_angle_beta 90.00
_cell_angle_gamma 90.00
_symmetry_space_group_name_H-M 'P 1'
_symmetry_Int_Tables_number 1
loop_
_symmetry_equiv_pos_as_xyz
'x,y,z'
loop_
_atom_site_label
_atom_site_type_symbol
_atom_site_fract_x
_atom_site_fract_y
_atom_site_fract_z
Hf1 Hf 0.000 0.000 0.000
Si1 Si 0.500 0.500 0.500
Sb1 Sb 0.500 0.500 0.000
I1 I 0.000 0.500 0.500
I2 I 0.500 0.000 0.500
```

***

Run ii
The following is a PBE-GGA calculation of HfSiSbI2 after structural relaxation, from the Alexandria database.

Values from the calculation:
magnetization = 0.9 μB per cell

```
data_HfSiSbI2
_chemical_formula_sum 'Hf1 Si1 Sb1 I2'
_cell_length_a 5.539
_cell_length_b 5.539
_cell_length_c 5.785
_cell_angle_alpha 90.00
_cell_angle_beta 90.00
_cell_angle_gamma 90.00
_symmetry_space_group_name_H-M 'P 1'
_symmetry_Int_Tables_number 1
loop_
_symmetry_equiv_pos_as_xyz
'x,y,z'
loop_
_atom_site_label
_atom_site_type_symbol
_atom_site_fract_x
_atom_site_fract_y
_atom_site_fract_z
Hf1 Hf 0.000 0.000 0.000
Si1 Si 0.500 0.500 0.500
Sb1 Sb 0.000 0.000 0.500
I1 I 0.000 0.500 0.000
I2 I 0.500 0.000 0.000
```

***

We find run ii to be the most stable, with the next structure 28.8 kJ/mol of atoms higher.

***

Run i
The following is a PBE-GGA calculation of HfSiSb2I after structural relaxation, from the Alexandria database.

Values from the calculation:
magnetization = 0.0 μB per cell

```
data_HfSiSb2I
_chemical_formula_sum 'Hf1 Si1 Sb2 I1'
_cell_length_a 5.162
_cell_length_b 5.162
_cell_length_c 5.268
_cell_angle_alpha 90.00
_cell_angle_beta 90.00
_cell_angle_gamma 90.00
_symmetry_space_group_name_H-M 'P 1'
_symmetry_Int_Tables_number 1
loop_
_symmetry_equiv_pos_as_xyz
'x,y,z'
loop_
_atom_site_label
_atom_site_type_symbol
_atom_site_fract_x
_atom_site_fract_y
_atom_site_fract_z
Hf1 Hf 0.000 0.000 0.000
Si1 Si 0.500 0.500 0.500
Sb1 Sb 0.000 0.500 0.500
Sb2 Sb 0.500 0.000 0.500
I1 I 0.500 0.500 0.000
```

***

Run ii
The following is a PBE-GGA calculation of HfSiSb2I after structural relaxation, from the Alexandria database.

Values from the calculation:
magnetization = 0.3 μB per cell

```
data_HfSiSb2I
_chemical_formula_sum 'Hf1 Si1 Sb2 I1'
_cell_length_a 5.596
_cell_length_b 5.596
_cell_length_c 5.481
_cell_angle_alpha 90.00
_cell_angle_beta 90.00
_cell_angle_gamma 90.00
_symmetry_space_group_name_H-M 'P 1'
_symmetry_Int_Tables_number 1
loop_
_symmetry_equiv_pos_as_xyz
'x,y,z'
loop_
_atom_site_label
_atom_site_type_symbol
_atom_site_fract_x
_atom_site_fract_y
_atom_site_fract_z
Hf1 Hf 0.000 0.000 0.000
Si1 Si 0.500 0.500 0.500
Sb1 Sb 0.000 0.500 0.000
Sb2 Sb 0.500 0.000 0.000
I1 I 0.000 0.000 0.500
```

***

We find run ii to be the most stable, with the next structure 11.8 kJ/mol of atoms higher.

***

Run i
The following is a PBE-GGA calculation of HfSbTe2I after structural relaxation, from the Alexandria database.

Values from the calculation:
magnetization = 0.0 μB per cell

```
data_HfSbTe2I
_chemical_formula_sum 'Hf1 Sb1 Te2 I1'
_cell_length_a 5.473
_cell_length_b 5.473
_cell_length_c 5.782
_cell_angle_alpha 90.00
_cell_angle_beta 90.00
_cell_angle_gamma 90.00
_symmetry_space_group_name_H-M 'P 1'
_symmetry_Int_Tables_number 1
loop_
_symmetry_equiv_pos_as_xyz
'x,y,z'
loop_
_atom_site_label
_atom_site_type_symbol
_atom_site_fract_x
_atom_site_fract_y
_atom_site_fract_z
Hf1 Hf 0.000 0.000 0.000
Sb1 Sb 0.000 0.000 0.500
Te1 Te 0.000 0.500 0.000
Te2 Te 0.500 0.000 0.000
I1 I 0.500 0.500 0.500
```

***

Run ii
The following is a PBE-GGA calculation of HfSbTe2I after structural relaxation, from the Alexandria database.

Values from the calculation:
magnetization = 0.0 μB per cell

```
data_HfSbTe2I
_chemical_formula_sum 'Hf1 Sb1 Te2 I1'
_cell_length_a 5.598
_cell_length_b 5.598
_cell_length_c 5.524
_cell_angle_alpha 90.00
_cell_angle_beta 90.00
_cell_angle_gamma 90.00
_symmetry_space_group_name_H-M 'P 1'
_symmetry_Int_Tables_number 1
loop_
_symmetry_equiv_pos_as_xyz
'x,y,z'
loop_
_atom_site_label
_atom_site_type_symbol
_atom_site_fract_x
_atom_site_fract_y
_atom_site_fract_z
Hf1 Hf 0.000 0.000 0.000
Sb1 Sb 0.500 0.500 0.500
Te1 Te 0.000 0.500 0.000
Te2 Te 0.500 0.000 0.000
I1 I 0.000 0.000 0.500
```

***

Run iii
The following is a PBE-GGA calculation of HfSbTe2I after structural relaxation, from the Alexandria database.

Values from the calculation:
magnetization = 1.1 μB per cell

```
data_HfSbTe2I
_chemical_formula_sum 'Hf1 Sb1 Te2 I1'
_cell_length_a 5.740
_cell_length_b 5.740
_cell_length_c 5.673
_cell_angle_alpha 90.00
_cell_angle_beta 90.00
_cell_angle_gamma 90.00
_symmetry_space_group_name_H-M 'P 1'
_symmetry_Int_Tables_number 1
loop_
_symmetry_equiv_pos_as_xyz
'x,y,z'
loop_
_atom_site_label
_atom_site_type_symbol
_atom_site_fract_x
_atom_site_fract_y
_atom_site_fract_z
Hf1 Hf 0.000 0.000 0.000
Sb1 Sb 0.500 0.500 0.500
Te1 Te 0.000 0.500 0.500
Te2 Te 0.500 0.000 0.500
I1 I 0.500 0.500 0.000
```

***

We find run i to be the most stable, with the next structure 9.5 kJ/mol of atoms higher.

***

Run i
The following is a PBE-GGA calculation of YHfSb2I after structural relaxation, from the Alexandria database.

Values from the calculation:
magnetization = 0.0 μB per cell

```
data_YHfSb2I
_chemical_formula_sum 'Y1 Hf1 Sb2 I1'
_cell_length_a 5.554
_cell_length_b 5.554
_cell_length_c 5.484
_cell_angle_alpha 90.00
_cell_angle_beta 90.00
_cell_angle_gamma 90.00
_symmetry_space_group_name_H-M 'P 1'
_symmetry_Int_Tables_number 1
loop_
_symmetry_equiv_pos_as_xyz
'x,y,z'
loop_
_atom_site_label
_atom_site_type_symbol
_atom_site_fract_x
_atom_site_fract_y
_atom_site_fract_z
Y1 Y 0.000 0.000 0.000
Hf1 Hf 0.500 0.500 0.500
Sb1 Sb 0.000 0.500 0.500
Sb2 Sb 0.500 0.000 0.500
I1 I 0.500 0.500 0.000
```

***

Run ii
The following is a PBE-GGA calculation of YHfSb2I after structural relaxation, from the Alexandria database.

Values from the calculation:
magnetization = 0.9 μB per cell

```
data_YHfSb2I
_chemical_formula_sum 'Y1 Hf1 Sb2 I1'
_cell_length_a 5.790
_cell_length_b 5.790
_cell_length_c 5.647
_cell_angle_alpha 90.00
_cell_angle_beta 90.00
_cell_angle_gamma 90.00
_symmetry_space_group_name_H-M 'P 1'
_symmetry_Int_Tables_number 1
loop_
_symmetry_equiv_pos_as_xyz
'x,y,z'
loop_
_atom_site_label
_atom_site_type_symbol
_atom_site_fract_x
_atom_site_fract_y
_atom_site_fract_z
Y1 Y 0.000 0.000 0.000
Hf1 Hf 0.500 0.500 0.500
Sb1 Sb 0.000 0.500 0.000
Sb2 Sb 0.500 0.000 0.000
I1 I 0.000 0.000 0.500
```

***

We find run i to be the most stable, with the next structure 60.5 kJ/mol of atoms higher.